[1]
Material: Tb3Rh2
Method: DFT, PBE
State: optimized geometry

Energy = -6.39 eV per atom
ΔE to the lowest computed polymorph = 81.2 meV per atom
Mass density = 8.90 g/cm3
ΔH_f (0 K) = -672 meV per atom
N(E_F) = 2.6 states/eV/f.u.

Geometry as CIF:
```
data_Tb3Rh2
_chemical_formula_sum 'Tb18 Rh12'
_space_group_name_H-M_alt 'C 1 2/m 1'
_space_group_IT_number 12
_cell_length_a 17.292
_cell_length_b 4.251
_cell_length_c 10.473
_cell_angle_alpha 90.00
_cell_angle_beta 97.12
_cell_angle_gamma 90.00
loop_
_space_group_symop_operation_xyz
'x,y,z'
'-x,-y,-z'
'-x,y,-z'
'x,-y,z'
'x+1/2,y+1/2,z'
'-x+1/2,-y+1/2,-z'
'-x+1/2,y+1/2,-z'
'x+1/2,-y+1/2,z'
loop_
_atom_site_label
_atom_site_type_symbol
_atom_site_fract_x
_atom_site_fract_y
_atom_site_fract_z
Tb1 Tb 0.000 0.000 0.000
Tb2 Tb 0.037 0.000 0.661
Tb3 Tb 0.125 0.500 0.283
Tb4 Tb 0.173 0.500 0.958
Tb5 Tb 0.208 0.500 0.621
Rh1 Rh 0.028 0.500 0.828
Rh2 Rh 0.139 0.000 0.467
Rh3 Rh 0.178 0.000 0.138
```

[2]
Material: CoNiS2N
Method: DFT, PBE
State: optimized geometry

Energy = -5.22 eV per atom
ΔE to the lowest computed polymorph = 0.0 meV per atom
Mass density = 4.63 g/cm3
Energy relative to the elements, uncorrected = 0.67 eV per atom
N(E_F) = 3.9 states/eV/f.u.

Geometry as CIF:
```
data_CoNiS2N
_chemical_formula_sum 'Co1 Ni1 S2 N1'
_space_group_name_H-M_alt 'P 4/m m m'
_space_group_IT_number 123
_space_group_name_Hall '-P 4 2'
_cell_length_a 4.604
_cell_length_b 4.604
_cell_length_c 3.316
_cell_angle_alpha 90.00
_cell_angle_beta 90.00
_cell_angle_gamma 90.00
loop_
_atom_site_label
_atom_site_type_symbol
_atom_site_fract_x
_atom_site_fract_y
_atom_site_fract_z
Co1 Co 0.000 0.000 0.000
Ni1 Ni 0.500 0.500 0.500
S1 S 0.000 0.500 0.000
N1 N 0.000 0.000 0.500
```

[3]
Material: YZnSb4
Method: DFT, PBE
State: optimized geometry

Energy = -3.97 eV per atom
Mass density = 6.25 g/cm3
Energy relative to the elements, uncorrected = 0.06 eV per atom
N(E_F) = 5.1 states/eV/f.u.

Geometry as CIF:
```
data_YZnSb4
_chemical_formula_sum 'Y4 Zn4 Sb16'
_space_group_name_H-M_alt 'F -4 3 m'
_space_group_IT_number 216
_space_group_name_Hall 'F -4 2 3'
_cell_length_a 8.800
_cell_length_b 8.800
_cell_length_c 8.800
_cell_angle_alpha 90.00
_cell_angle_beta 90.00
_cell_angle_gamma 90.00
loop_
_atom_site_label
_atom_site_type_symbol
_atom_site_fract_x
_atom_site_fract_y
_atom_site_fract_z
Y1 Y 0.000 0.000 0.000
Zn1 Zn 0.250 0.250 0.250
Sb1 Sb 0.125 0.125 0.625
```